# 1
This record from the Alexandria database describes TlIrRu after structural relaxation. The functional is GGA-PBE. Values from VASP.

```
&SYSTEM
  ibrav = 0, nat = 3, ntyp = 3
/
ATOMIC_SPECIES
Tl 204.38 Tl.upf
Ir 192.22 Ir.upf
Ru 101.07 Ru.upf
CELL_PARAMETERS angstrom
0.0000 3.0862 3.0862
3.0862 0.0000 3.0862
3.0862 3.0862 0.0000
ATOMIC_POSITIONS crystal
Tl 0.0000 0.0000 0.0000
Ir 0.5000 0.5000 0.5000
Ru 0.7500 0.7500 0.7500
```

Calculated values
N(E_F): 1.059 states/eV/atom
V: 58.8 Å³/f.u.
energy relative to the lowest polymorph listed for this composition: 0.304 eV per atom
energy relative to the elements: 70.63 kJ per mole of atoms

# 2
This record from the Alexandria database describes TlIr2Ru after structural relaxation. The functional is GGA-PBE. Values from VASP.

```
&SYSTEM
  ibrav = 0, nat = 4, ntyp = 3
/
ATOMIC_SPECIES
Tl 204.38 Tl.upf
Ir 192.22 Ir.upf
Ru 101.07 Ru.upf
CELL_PARAMETERS angstrom
-1.4101 2.3872 4.9604
1.4101 -2.3872 4.9604
1.4101 2.3872 -4.9604
ATOMIC_POSITIONS crystal
Tl 0.0000 0.0000 0.0000
Ir 0.2694 0.7694 0.5000
Ir 0.5002 0.5002 0.0000
Ru 0.7268 0.2268 0.5000
```

Calculated values
N(E_F): 1.223 states/eV/atom
V: 66.8 Å³/f.u.
energy relative to the lowest polymorph listed for this composition: 0.230 eV per atom
energy relative to the elements: 57.39 kJ per mole of atoms

# 3
This record from the Alexandria database describes TlIrRu2 after structural relaxation. The functional is GGA-PBE. Values from VASP.

```
&SYSTEM
  ibrav = 0, nat = 4, ntyp = 3
/
ATOMIC_SPECIES
Tl 204.38 Tl.upf
Ir 192.22 Ir.upf
Ru 101.07 Ru.upf
CELL_PARAMETERS angstrom
2.9501 0.0000 0.0000
0.0000 4.6980 0.0000
0.0000 0.0000 4.7089
ATOMIC_POSITIONS crystal
Tl 0.0000 0.0000 0.0000
Ir 0.5000 0.0000 0.5000
Ru 0.0000 0.5000 0.5000
Ru 0.5000 0.5000 0.0000
```

Calculated values
N(E_F): 1.286 states/eV/atom
V: 65.3 Å³/f.u.
energy relative to the lowest polymorph listed for this composition: 0.308 eV per atom
energy relative to the elements: 67.84 kJ per mole of atoms

# 4
This record from the Alexandria database describes TlIr2Ru after structural relaxation. The functional is GGA-PBE. Values from VASP.

```
&SYSTEM
  ibrav = 0, nat = 4, ntyp = 3
/
ATOMIC_SPECIES
Tl 204.38 Tl.upf
Ir 192.22 Ir.upf
Ru 101.07 Ru.upf
CELL_PARAMETERS angstrom
2.8377 0.0000 0.0000
0.0000 3.8058 0.0000
0.0000 0.0000 6.0825
ATOMIC_POSITIONS crystal
Tl 0.0000 0.0000 0.0000
Ir 0.0000 0.0000 0.5090
Ir 0.5000 0.5000 0.2788
Ru 0.5000 0.5000 0.7145
```

Calculated values
N(E_F): 0.974 states/eV/atom
V: 65.7 Å³/f.u.
energy relative to the lowest polymorph listed for this composition: 0.074 eV per atom
energy relative to the elements: 42.41 kJ per mole of atoms